Compound: LiCoPO4
Source: Alexandria
Functional: PBE+U
Structure: optimized geometry

Results
Total DFT energy (no corrections) ... -6.610 eV per atom
Symmetry ... P1 (1)
Distance to the lowest polymorph of the same formula ... 0.036 eV per atom

Cell lengths 5.234, 8.090, 8.935 Å; angles 109.96, 91.05, 82.44 degrees
Fractional positions:
O: 0.322 0.554 0.742
O: 0.315 0.172 0.046
Co: 0.652 0.654 0.749
Li: 0.179 0.475 0.527
O: 0.566 0.819 0.449
O: 0.815 0.173 0.546
O: 0.822 0.554 0.242
O: 0.810 0.571 0.530
Li: 0.679 0.475 0.027
P: 0.984 0.106 0.390
Co: 0.985 0.072 0.039
O: 0.065 0.819 0.949
P: 0.483 0.106 0.890
O: 0.232 0.204 0.426
O: 0.905 0.522 0.862
O: 0.071 0.908 0.338
O: 0.310 0.571 0.030
Li: 0.458 0.252 0.261
P: 0.653 0.621 0.398
O: 0.732 0.203 0.925
O: 0.405 0.523 0.362
Co: 0.152 0.654 0.249
Li: 0.958 0.251 0.761
Co: 0.485 0.072 0.539
O: 0.827 0.156 0.258
O: 0.570 0.907 0.838
O: 0.327 0.156 0.758
P: 0.153 0.621 0.898